# 1
# Cs3Pm2PrO6 | Alexandria via LeMat-Bulk | PBE-GGA | relaxed
# ΔE_f (raw): -58.03 kcal/mol of atoms
data_Cs3Pm2PrO6
_space_group_name_H-M_alt 'C 1 2/m 1'
_space_group_IT_number 12
_cell_length_a 6.402
_cell_length_b 11.089
_cell_length_c 7.271
_cell_angle_alpha 90.00
_cell_angle_beta 107.07
_cell_angle_gamma 90.00
loop_
_space_group_symop_operation_xyz
'x,y,z'
'-x,-y,-z'
'-x,y,-z'
'x,-y,z'
'x+1/2,y+1/2,z'
'-x+1/2,-y+1/2,-z'
'-x+1/2,y+1/2,-z'
'x+1/2,-y+1/2,z'
loop_
_atom_site_label
_atom_site_fract_x
_atom_site_fract_y
_atom_site_fract_z
Cs1 0.000 0.000 0.000
Cs2 0.000 0.333 0.000
Pm1 0.000 0.167 0.500
Pr1 0.000 0.500 0.500
O1 0.219 0.000 0.669
O2 0.225 0.331 0.669

---

# 2
# Ti2Be4Nb2Si | Alexandria via LeMat-Bulk | PBE-GGA | relaxed
# ΔE_f (raw): 4.27 kcal/mol of atoms
data_Ti2Be4Nb2Si
_space_group_name_H-M_alt 'I 4/m m m'
_space_group_IT_number 139
_space_group_name_Hall '-I 4 2'
_cell_length_a 5.475
_cell_length_b 5.475
_cell_length_c 8.540
_cell_angle_alpha 90.00
_cell_angle_beta 90.00
_cell_angle_gamma 90.00
loop_
_atom_site_label
_atom_site_fract_x
_atom_site_fract_y
_atom_site_fract_z
Ti1 0.000 0.500 0.250
Be1 0.216 0.216 0.000
Nb1 0.000 0.000 0.224
Si1 0.000 0.000 0.500